1.
{
  "formula": "HoZnInS4",
  "functional": "PBE",
  "state": "optimized geometry",
  "final_energy_ev_per_fu": -32.91,
  "raw_formation_energy_ev_per_atom": -1.115,
  "sg": "Imma (74)",
  "lattice": [[-3.8344, 3.8499, 5.4498], [3.8344, -3.8499, 5.4498], [3.8344, 3.8499, -5.4498]],
  "species": ["Ho", "Ho", "Zn", "Zn", "In", "In", "S", "S", "S", "S", "S", "S", "S", "S"],
  "frac_coords": [[0.5000, 0.0000, 0.0000], [0.5000, 0.5000, 0.5000], [0.1215, 0.3715, 0.7500], [0.8785, 0.6285, 0.2500], [0.0000, 0.0000, 0.0000], [0.5000, 0.0000, 0.5000], [0.2495, 0.2390, 0.4895], [0.2495, 0.7599, 0.0105], [0.2504, 0.2471, 0.0032], [0.2561, 0.7529, 0.5032], [0.7439, 0.2471, 0.4968], [0.7496, 0.7529, 0.9968], [0.7505, 0.2401, 0.9895], [0.7505, 0.7610, 0.5105]]
}

2.
{
  "formula": "HoInSb2",
  "functional": "PBE",
  "state": "optimized geometry",
  "final_energy_ev_per_fu": -17.24,
  "raw_formation_energy_ev_per_atom": -0.420,
  "relative_energy_ev_per_atom": 0.000,
  "sg": "P4/mmm (123)",
  "lattice": [[5.0868, 0.0000, 0.0000], [0.0000, 5.0868, 0.0000], [0.0000, 0.0000, 4.0799]],
  "species": ["Ho", "In", "Sb", "Sb"],
  "frac_coords": [[0.0000, 0.0000, 0.0000], [0.5000, 0.5000, 0.0000], [0.0000, 0.5000, 0.5000], [0.5000, 0.0000, 0.5000]]
}

3.
{
  "formula": "HoInSb2",
  "functional": "PBE",
  "state": "optimized geometry",
  "final_energy_ev_per_fu": -16.92,
  "raw_formation_energy_ev_per_atom": -0.340,
  "relative_energy_ev_per_atom": 0.081,
  "sg": "R3m (160)",
  "lattice": [[2.2550, 1.3019, 6.9649], [-2.2550, 1.3019, 6.9649], [0.0000, -2.6038, 6.9649]],
  "species": ["Ho", "In", "Sb", "Sb"],
  "frac_coords": [[0.0000, 0.0000, 0.0000], [0.8321, 0.8321, 0.8321], [0.4156, 0.4156, 0.4156], [0.5901, 0.5901, 0.5901]]
}

4.
{
  "formula": "HoInSb2",
  "functional": "PBE",
  "state": "optimized geometry",
  "final_energy_ev_per_fu": -17.05,
  "raw_formation_energy_ev_per_atom": -0.373,
  "relative_energy_ev_per_atom": 0.047,
  "sg": "R-3m (166)",
  "lattice": [[2.1573, 1.2455, 7.3868], [-2.1573, 1.2455, 7.3868], [0.0000, -2.4910, 7.3868]],
  "species": ["Ho", "In", "Sb", "Sb"],
  "frac_coords": [[0.0000, 0.0000, 0.0000], [0.5000, 0.5000, 0.5000], [0.2490, 0.2490, 0.2490], [0.7510, 0.7510, 0.7510]]
}

5.
{
  "formula": "Ho6InSb3",
  "functional": "PBE",
  "state": "optimized geometry",
  "final_energy_ev_per_fu": -50.34,
  "raw_formation_energy_ev_per_atom": -0.776,
  "sg": "Cmcm (63)",
  "lattice": [[5.8225, -5.6823, 0.0000], [5.8225, 5.6823, 0.0000], [0.0000, 0.0000, 8.4228]],
  "species": ["Ho", "Ho", "Ho", "Ho", "Ho", "Ho", "Ho", "Ho", "Ho", "Ho", "Ho", "Ho", "In", "In", "Sb", "Sb", "Sb", "Sb", "Sb", "Sb"],
  "frac_coords": [[0.0032, 0.4984, 0.7500], [0.1605, 0.8395, 0.5005], [0.1605, 0.8395, 0.9995], [0.3391, 0.3391, 0.0000], [0.3391, 0.3391, 0.5000], [0.4984, 0.0032, 0.2500], [0.5016, 0.9968, 0.7500], [0.6609, 0.6609, 0.0000], [0.6609, 0.6609, 0.5000], [0.8395, 0.1605, 0.0005], [0.8395, 0.1605, 0.4995], [0.9968, 0.5016, 0.2500], [0.3570, 0.6430, 0.7500], [0.6430, 0.3570, 0.2500], [0.1423, 0.1466, 0.2500], [0.1466, 0.1423, 0.7500], [0.3614, 0.6386, 0.2500], [0.6386, 0.3614, 0.7500], [0.8534, 0.8577, 0.2500], [0.8577, 0.8534, 0.7500]]
}

6.
{
  "formula": "Ho5In2Sb2",
  "functional": "PBE",
  "state": "optimized geometry",
  "final_energy_ev_per_fu": -43.27,
  "raw_formation_energy_ev_per_atom": -0.740,
  "sg": "Cmce (64)",
  "lattice": [[7.7829, -4.0431, 0.0000], [7.7829, 4.0431, 0.0000], [0.0000, 0.0000, 8.0756]],
  "species": ["Ho", "Ho", "Ho", "Ho", "Ho", "Ho", "Ho", "Ho", "Ho", "Ho", "In", "In", "In", "In", "Sb", "Sb", "Sb", "Sb"],
  "frac_coords": [[0.0000, 0.0000, 0.0000], [0.0324, 0.6922, 0.6663], [0.1922, 0.5324, 0.1663], [0.3078, 0.9676, 0.6663], [0.4676, 0.8078, 0.1663], [0.5000, 0.5000, 0.5000], [0.5324, 0.1922, 0.8337], [0.6922, 0.0324, 0.3337], [0.8078, 0.4676, 0.8337], [0.9676, 0.3078, 0.3337], [0.1292, 0.8708, 0.3717], [0.3708, 0.6292, 0.8717], [0.6292, 0.3708, 0.1283], [0.8708, 0.1292, 0.6283], [0.2033, 0.2033, 0.0000], [0.2967, 0.2967, 0.5000], [0.7033, 0.7033, 0.5000], [0.7967, 0.7967, 0.0000]]
}

Which formula does entry 1 have? HoZnInS4

Number 1 is which compound? HoZnInS4